This record from Alexandria describes a relaxed Cs2PaZn2Se6 crystal. The functional is PBE.

Total magnetic moment: 0.00 μB per cell
E_form (uncorrected): -0.945 eV/atom
Fermi-level density of states: 7.30 states/eV/cell
DFT total energy: -45.0 eV per cell

abc: 7.8233 7.8233 8.6466
angles: 63.10 63.10 60.00
Positions (direct):
1 Cs 0.7757 0.7757 0.6730
2 Cs 0.2243 0.2243 0.3270
3 Pa 0.0000 0.0000 0.0000
4 Zn 0.4051 0.4051 0.7846
5 Zn 0.5949 0.5949 0.2154
6 Se 0.7623 0.7623 0.2365
7 Se 0.2388 0.7623 0.2365
8 Se 0.7623 0.2388 0.2365
9 Se 0.2377 0.7612 0.7635
10 Se 0.7612 0.2377 0.7635
11 Se 0.2377 0.2377 0.7635


This record from Alexandria describes a relaxed PrY3Sb4 crystal. The functional is PBE.

Total magnetic moment: 0.00 μB per cell
ΔE to the lowest computed polymorph: 0.0000 eV per atom
E_form (uncorrected): -1.166 eV/atom
Fermi-level density of states: 1.08 states/eV/cell
DFT total energy: -50.0 eV per cell

abc: 4.4384 7.6798 7.6798
angles: 70.50 90.00 90.00
Positions (direct):
1 Pr 0.5000 0.5001 0.0000
2 Y 0.5000 0.0001 0.5000
3 Y 0.9999 0.0001 0.0000
4 Y 0.0000 0.5001 0.5000
5 Sb 0.0000 0.7571 0.7430
6 Sb 0.5001 0.7536 0.2535
7 Sb 0.0000 0.2432 0.2569
8 Sb 0.4998 0.2466 0.7465


This record from Alexandria describes a relaxed Y2TaAs crystal. The functional is PBE.

Total magnetic moment: 0.00 μB per cell
Fermi-level density of states: 4.53 states/eV/cell
DFT total energy: -30.2 eV per cell
ΔE_f: -187 meV/atom

abc: 6.0420 6.0420 6.0420
angles: 144.27 132.99 60.42
Positions (direct):
1 Y 0.0113 0.0113 0.0000
2 Y 0.7344 0.2344 0.5000
3 As 0.4695 0.4695 0.0000
4 Ta 0.2848 0.7848 0.5000


This record from Alexandria describes a relaxed La6CuIr2I3 crystal. The functional is PBE.

Total magnetic moment: 0.00 μB per cell
E_form (uncorrected): -0.942 eV/atom
Fermi-level density of states: 8.61 states/eV/cell
DFT total energy: -67.3 eV per cell

abc: 7.4270 7.4270 8.6222
angles: 98.25 98.25 120.00
Positions (direct):
1 La 0.9375 0.5917 0.8124
2 La 0.7167 0.7167 0.1868
3 La 0.0625 0.4083 0.1876
4 La 0.5917 0.9375 0.8124
5 La 0.2833 0.2833 0.8132
6 La 0.4083 0.0625 0.1876
7 Cu 0.0000 0.0000 0.0000
8 Ir 0.3332 0.6668 0.0000
9 Ir 0.6668 0.3332 0.0000
10 I 0.1651 0.8349 0.5000
11 I 0.8349 0.1651 0.5000
12 I 0.5000 0.5000 0.5000


This record from Alexandria describes a relaxed VZnGa2Se crystal. The functional is PBE.

Total magnetic moment: 3.67 μB per cell
E_form (uncorrected): 0.648 eV/atom
Fermi-level density of states: 7.21 states/eV/cell
DFT total energy: -16.7 eV per cell

abc: 4.9878 4.9530 4.9878
angles: 90.00 90.00 90.00
Positions (direct):
1 Zn 0.0000 0.5000 0.0000
2 Ga 0.0000 0.0000 0.5000
3 Ga 0.5000 0.0000 0.0000
4 Se 0.5000 0.5000 0.5000
5 V 0.0000 0.0000 0.0000


This record from Alexandria describes a relaxed Pr3Nd5Y4 crystal. The functional is PBE.

Total magnetic moment: 0.00 μB per cell
ΔE to the lowest computed polymorph: 0.2046 eV per atom
Fermi-level density of states: 20.00 states/eV/cell
DFT total energy: -61.6 eV per cell
ΔE_f: 207 meV/atom

abc: 6.0838 8.7297 9.8448
angles: 105.83 72.00 69.61
Positions (direct):
1 Pr 0.5212 0.6878 0.2698
2 Pr 0.0000 0.5000 0.5000
3 Pr 0.4788 0.3122 0.7302
4 Nd 0.6226 0.9533 0.8014
5 Nd 0.5000 0.5000 0.5000
6 Nd 0.2115 0.4614 0.1157
7 Nd 0.7885 0.5386 0.8843
8 Nd 0.3774 0.0467 0.1986
9 Y 0.8591 0.2222 0.0596
10 Y 0.1662 0.0445 0.6231
11 Y 0.8338 0.9555 0.3769
12 Y 0.1409 0.7778 0.9404


This record from Alexandria describes a relaxed NbSb2SeCl crystal. The functional is PBE.

Total magnetic moment: 1.95 μB per cell
ΔE to the lowest computed polymorph: 0.3060 eV per atom
E_form (uncorrected): 1.046 eV/atom
Fermi-level density of states: 3.26 states/eV/cell
DFT total energy: -18.4 eV per cell

abc: 5.1521 4.9125 5.1521
angles: 90.00 90.00 90.00
Positions (direct):
1 Sb 0.0000 0.0000 0.5000
2 Sb 0.5000 0.0000 0.0000
3 Nb 0.5000 0.5000 0.5000
4 Se 0.0000 0.5000 0.0000
5 Cl 0.0000 0.0000 0.0000


This record from Alexandria describes a relaxed ZrAg2W crystal. The functional is PBE.

Total magnetic moment: 0.00 μB per cell
Fermi-level density of states: 3.09 states/eV/cell
DFT total energy: -24.9 eV per cell
ΔE_f: 565 meV/atom

abc: 3.6212 3.6212 5.6399
angles: 90.00 90.00 90.00
Positions (direct):
1 Ag 0.0000 0.0000 0.0075
2 Ag 0.0000 0.0000 0.4925
3 W 0.5000 0.5000 0.2500
4 Zr 0.5000 0.5000 0.7500


This record from Alexandria describes a relaxed CsLi2CuF6 crystal. The functional is PBE.

Total magnetic moment: 0.26 μB per cell
E_form (uncorrected): -2.206 eV/atom
DFT total energy: -84.1 eV per cell

abc: 6.9388 7.1094 7.1094
angles: 109.99 86.74 86.74
Positions (direct):
1 Cs 0.2500 0.9040 0.0960
2 Cs 0.7500 0.0960 0.9040
3 Li 0.3867 0.6529 0.5326
4 Li 0.1133 0.4674 0.3471
5 Li 0.6133 0.3471 0.4674
6 Li 0.8867 0.5326 0.6529
7 Cu 0.2500 0.2854 0.7146
8 Cu 0.7500 0.7146 0.2854
9 F 0.1835 0.0701 0.5245
10 F 0.3165 0.4755 0.9299
11 F 0.8165 0.9299 0.4755
12 F 0.6835 0.5245 0.0701
13 F 0.4988 0.7906 0.3600
14 F 0.0012 0.6400 0.2094
15 F 0.5012 0.2094 0.6400
16 F 0.9988 0.3600 0.7906
17 F 0.1214 0.6532 0.6244
18 F 0.3786 0.3756 0.3468
19 F 0.8786 0.3468 0.3756
20 F 0.6214 0.6244 0.6532


This record from Alexandria describes a relaxed PmZnSb2 crystal. The functional is PBE.

Total magnetic moment: 0.00 μB per cell
ΔE to the lowest computed polymorph: 0.3479 eV per atom
E_form (uncorrected): -0.209 eV/atom
Fermi-level density of states: 5.16 states/eV/cell
DFT total energy: -15.1 eV per cell

abc: 5.3032 5.3032 5.3032
angles: 60.00 60.00 60.00
Positions (direct):
1 Sb 0.2500 0.2500 0.2500
2 Sb 0.7500 0.7500 0.7500
3 Zn 0.5000 0.5000 0.5000
4 Pm 0.0000 0.0000 0.0000


This record from Alexandria describes a relaxed BeNbCu crystal. The functional is PBE.

Total magnetic moment: 0.00 μB per cell
ΔE to the lowest computed polymorph: 0.1159 eV per atom
Fermi-level density of states: 3.31 states/eV/cell
DFT total energy: -35.6 eV per cell
ΔE_f: 34 meV/atom

abc: 3.6487 3.6487 5.8663
angles: 90.00 90.00 90.00
Positions (direct):
1 Be 0.0000 0.0000 0.5000
2 Be 0.5000 0.5000 0.5000
3 Nb 0.0000 0.5000 0.1508
4 Nb 0.5000 0.0000 0.8492
5 Cu 0.0000 0.5000 0.7072
6 Cu 0.5000 0.0000 0.2928


This record from Alexandria describes a relaxed PmGdScAu crystal. The functional is PBE.

Total magnetic moment: 7.98 μB per cell
Fermi-level density of states: 5.28 states/eV/cell
DFT total energy: -29.2 eV per cell
ΔE_f: -186 meV/atom

abc: 5.2762 5.2762 5.2762
angles: 60.00 60.00 60.00
Positions (direct):
1 Sc 0.2500 0.2500 0.2500
2 Gd 0.0000 0.0000 0.0000
3 Au 0.7500 0.7500 0.7500
4 Pm 0.5000 0.5000 0.5000


Question: What is the total magnetic moment in the third record?
Answer: 0.00 μB per cell


Question: total magnetic moment of number 10 (PmZnSb2)?
Answer: 0.00 μB per cell


Question: Look up the total magnetic moment of the sixth one.
Answer: 0.00 μB per cell


Question: The highest total magnetic moment belongs to which entry?
Answer: PmGdScAu